No. 1
Material: PtWI3
Method: DFT, GGA-PBE
State: optimized geometry

Output
total energy: -17.10 eV for the cell shown
energy relative to the lowest polymorph listed for this composition: 0.036 eV/atom
total magnetic moment: 4.66 μB per cell
volume: 32.42 A^3/atom

Cell lengths 5.452, 5.452, 5.452 Å; angles 90.00, 90.00, 90.00 degrees
Fractional positions:
Pt 0.000 0.000 0.000
W 0.500 0.500 0.500
I 0.000 0.000 0.500
I 0.000 0.500 0.000
I 0.500 0.000 0.000

No. 2
Material: Th3Ge6Ru2Au
Method: DFT, GGA-PBE
State: optimized geometry

Output
total energy: -73.75 eV for the cell shown
total magnetic moment: 0.00 μB per cell
volume: 21.45 A^3/atom

Cell lengths 6.228, 6.228, 7.663 Å; angles 90.00, 90.00, 120.00 degrees
Fractional positions:
Th 0.000 0.000 0.000
Th 0.333 0.667 0.660
Th 0.667 0.333 0.340
Ge 0.195 0.391 0.277
Ge 0.195 0.805 0.277
Ge 0.391 0.195 0.723
Ge 0.609 0.805 0.277
Ge 0.805 0.195 0.723
Ge 0.805 0.609 0.723
Ru 0.333 0.667 0.999
Ru 0.667 0.333 0.001
Au 0.000 0.000 0.500